(1)
A plane-wave DFT calculation with PBE was carried out for a geometry-optimized LaTa2Tl structure.

Properties
density	12.617	g/cm³
crystal system	orthorhombic
density of states at the Fermi level	3.73	states/eV/cell
DFT total energy	-29.809	eV for the cell shown

Cell lengths 3.1081, 3.1081, 10.3590 Å; angles 90.00, 90.00, 111.95 degrees
With the nearest neighbours (Å) after each atom.
Atoms (fractional coordinates):
La: 0.5000 0.5000 0.7622  6 La 3.11-3.48, 2 Ta 3.29, 2 Tl 3.45
Ta: 0.0000 0.0000 0.0315  2 Ta 2.71
Ta: 0.5000 0.5000 0.2321  2 Ta 2.71
Tl: 0.0000 0.0000 0.4742  2 Ta 3.05, 4 Tl 3.11



(2)
A plane-wave DFT calculation with PBE was carried out for a geometry-optimized CoHPt2Pb structure.

Properties
density	16.080	g/cm³
crystal system	tetragonal
density of states at the Fermi level	2.48	states/eV/cell
DFT total energy	-25.629	eV for the cell shown

Cell lengths 4.0306, 4.0306, 4.1782 Å; angles 90.00, 90.00, 90.00 degrees
With the nearest neighbours (Å) after each atom.
Atoms (fractional coordinates):
Pb: 0.5000 0.5000 0.5000  4 Co 2.85, 8 Pt 2.90
H: 0.0000 0.0000 0.0000  4 Pt 2.02, 2 Co 2.09
Co: 0.0000 0.0000 0.5000  2 H 2.09
Pt: 0.0000 0.5000 0.0000  2 H 2.02
Pt: 0.5000 0.0000 0.0000  2 H 2.02



(3)
A plane-wave DFT calculation with PBE was carried out for a geometry-optimized SrLi2W structure.

Properties
density	4.863	g/cm³
crystal system	tetragonal
polymorph energy (0 for the lowest one)	0.388	eV per atom
density of states at the Fermi level	3.12	states/eV/cell

Cell lengths 5.5771, 5.5771, 5.5771 Å; angles 130.72, 130.72, 72.26 degrees
With the nearest neighbours (Å) after each atom.
Atoms (fractional coordinates):
Li: 0.0000 0.0000 0.0000  4 W 3.24, 4 Li 3.24, 4 Sr 3.29
Li: 0.2500 0.7500 0.5000  4 Sr 3.24, 4 Li 3.24, 4 W 3.29
Sr: 0.5000 0.5000 0.0000  8 Li 3.24-3.29, 4 W 3.24
W: 0.7500 0.2500 0.5000  4 Sr 3.24, 8 Li 3.24-3.29



(4)
A plane-wave DFT calculation with PBE was carried out for a geometry-optimized V4FeNi15 structure.

Properties
density	8.395	g/cm³
crystal system	tetragonal
density of states at the Fermi level	21.05	states/eV/cell
DFT total energy	-134.772	eV for the cell shown

Cell lengths 3.5549, 3.5549, 17.8440 Å; angles 90.00, 90.00, 90.00 degrees
With the nearest neighbours (Å) after each atom.
Atoms (fractional coordinates):
V: 0.0000 0.0000 0.1974  12 Ni 2.48-2.55
V: 0.0000 0.0000 0.3999  12 Ni 2.51-2.52
V: 0.0000 0.0000 0.6001  12 Ni 2.51-2.52
V: 0.0000 0.0000 0.8026  12 Ni 2.48-2.55
Fe: 0.0000 0.0000 0.0000  12 Ni 2.51-2.53
Ni: 0.5000 0.5000 0.0000  4 Fe 2.51, 8 Ni 2.53
Ni: 0.5000 0.5000 0.2005  8 Ni 2.51-2.52, 4 V 2.51
Ni: 0.5000 0.5000 0.3995  4 V 2.51, 8 Ni 2.52
Ni: 0.5000 0.5000 0.6005  4 V 2.51, 8 Ni 2.52
Ni: 0.5000 0.5000 0.7995  8 Ni 2.51-2.52, 4 V 2.51
Ni: 0.5000 0.0000 0.1006  2 V 2.48, 8 Ni 2.51-2.53, 2 Fe 2.53
Ni: 0.5000 0.0000 0.2995  8 Ni 2.51-2.52, 4 V 2.52-2.55
Ni: 0.5000 0.0000 0.5000  8 Ni 2.51-2.52, 4 V 2.52
Ni: 0.5000 0.0000 0.7005  8 Ni 2.51-2.52, 4 V 2.52-2.55
Ni: 0.5000 0.0000 0.8994  2 V 2.48, 8 Ni 2.51-2.53, 2 Fe 2.53
Ni: 0.0000 0.5000 0.1006  2 V 2.48, 8 Ni 2.51-2.53, 2 Fe 2.53
Ni: 0.0000 0.5000 0.2995  8 Ni 2.51-2.52, 4 V 2.52-2.55
Ni: 0.0000 0.5000 0.5000  8 Ni 2.51-2.52, 4 V 2.52
Ni: 0.0000 0.5000 0.7005  8 Ni 2.51-2.52, 4 V 2.52-2.55
Ni: 0.0000 0.5000 0.8994  2 V 2.48, 8 Ni 2.51-2.53, 2 Fe 2.53



(5)
A plane-wave DFT calculation with PBE was carried out for a geometry-optimized FeSb2Te structure.

Properties
density	7.155	g/cm³
crystal system	orthorhombic
formation energy from raw total energies	0.4	eV per formula unit
density of states at the Fermi level	2.35	states/eV/cell

Cell lengths 3.9620, 5.6637, 5.6645 Å; angles 51.23, 90.00, 90.00 degrees
With the nearest neighbours (Å) after each atom.
Atoms (fractional coordinates):
Fe: 0.5000 0.7495 0.7495  4 Sb 2.45-2.57, 2 Te 2.61
Sb: 0.0000 0.9098 0.9099  2 Fe 2.57
Sb: 0.5000 0.2575 0.2575  2 Fe 2.45
Te: 0.0000 0.5832 0.5831  2 Fe 2.61